## TaCdSn (PBE)

Data for a relaxed structure of TaCdSn.

Cell and atoms, written as CIF:
```
data_TaCdSn
_space_group_name_H-M_alt 'P 4/n m m'
_space_group_IT_number 129
_cell_length_a 3.637
_cell_length_b 3.637
_cell_length_c 9.765
_cell_angle_alpha 90.00
_cell_angle_beta 90.00
_cell_angle_gamma 90.00
loop_
_space_group_symop_operation_xyz
'x,y,z'
'-x,-y,-z'
'-y+1/2,x,z'
'y+1/2,-x,-z'
'-x+1/2,-y+1/2,z'
'x+1/2,y+1/2,-z'
'y,-x+1/2,z'
'-y,x+1/2,-z'
'x+1/2,-y,-z'
'-x+1/2,y,z'
'-y,-x,-z'
'y,x,z'
'-x,y+1/2,-z'
'x,-y+1/2,z'
'y+1/2,x+1/2,-z'
'-y+1/2,-x+1/2,z'
loop_
_atom_site_label
_atom_site_type_symbol
_atom_site_fract_x
_atom_site_fract_y
_atom_site_fract_z
Ta1 Ta 0.250 0.250 0.075
Cd1 Cd 0.250 0.250 0.410
Sn1 Sn 0.250 0.250 0.775
```

- M_tot (μB per atom) = 0.00
- DFT total energy (eV/f.u.) = -16.4
- density (kg/m3) = 10593
- formation enthalpy at 0 K (eV per atom) = 0.11

## TaCd3Sn (PBE)

Data for a relaxed structure of TaCd3Sn.

Cell and atoms, written as CIF:
```
data_TaCd3Sn
_space_group_name_H-M_alt 'P m -3 m'
_space_group_IT_number 221
_space_group_name_Hall '-P 4 2 3'
_cell_length_a 5.396
_cell_length_b 5.396
_cell_length_c 5.396
_cell_angle_alpha 90.00
_cell_angle_beta 90.00
_cell_angle_gamma 90.00
loop_
_atom_site_label
_atom_site_type_symbol
_atom_site_fract_x
_atom_site_fract_y
_atom_site_fract_z
Ta1 Ta 0.000 0.000 0.000
Cd1 Cd 0.000 0.000 0.500
Sn1 Sn 0.500 0.500 0.500
```

- polymorph energy (0 for the lowest one) (meV per atom) = 0
- M_tot (μB per atom) = 0.09
- DFT total energy (eV/f.u.) = -13.3
- density (kg/m3) = 6731
- formation enthalpy at 0 K (eV per atom) = 1.06

## YTaCd2Sn (PBE)

Data for a relaxed structure of YTaCd2Sn.

Cell and atoms, written as CIF:
```
data_YTaCd2Sn
_space_group_name_H-M_alt 'P 4/m m m'
_space_group_IT_number 123
_space_group_name_Hall '-P 4 2'
_cell_length_a 5.620
_cell_length_b 5.620
_cell_length_c 5.132
_cell_angle_alpha 90.00
_cell_angle_beta 90.00
_cell_angle_gamma 90.00
loop_
_atom_site_label
_atom_site_type_symbol
_atom_site_fract_x
_atom_site_fract_y
_atom_site_fract_z
Y1 Y 0.000 0.000 0.000
Ta1 Ta 0.000 0.000 0.500
Cd1 Cd 0.000 0.500 0.000
Sn1 Sn 0.500 0.500 0.500
```

- M_tot (μB per atom) = 0.00
- DFT total energy (eV/f.u.) = -17.2
- density (kg/m3) = 6285
- formation enthalpy at 0 K (eV per atom) = 1.39

## TaZn2CdSn (PBE)

Data for a relaxed structure of TaZn2CdSn.

Cell and atoms, written as CIF:
```
data_TaZn2CdSn
_space_group_name_H-M_alt 'P 4/m m m'
_space_group_IT_number 123
_space_group_name_Hall '-P 4 2'
_cell_length_a 4.716
_cell_length_b 4.716
_cell_length_c 5.392
_cell_angle_alpha 90.00
_cell_angle_beta 90.00
_cell_angle_gamma 90.00
loop_
_atom_site_label
_atom_site_type_symbol
_atom_site_fract_x
_atom_site_fract_y
_atom_site_fract_z
Ta1 Ta 0.000 0.000 0.000
Zn1 Zn 0.000 0.500 0.500
Cd1 Cd 0.000 0.000 0.500
Sn1 Sn 0.500 0.500 0.000
```

- M_tot (μB per atom) = 0.00
- DFT total energy (eV/f.u.) = -14.2
- density (kg/m3) = 7517
- formation enthalpy at 0 K (eV per atom) = 1.03

## Tb4CdSn2 (PBE)

Data for a relaxed structure of Tb4CdSn2.

Cell and atoms, written as CIF:
```
data_Tb4CdSn2
_space_group_name_H-M_alt 'R -3 m'
_space_group_IT_number 166
_space_group_name_Hall '-R 3 2"'
_cell_length_a 4.8146
_cell_length_b 4.8146
_cell_length_c 33.2678
_cell_angle_alpha 90.00
_cell_angle_beta 90.00
_cell_angle_gamma 120.00
loop_
_atom_site_label
_atom_site_type_symbol
_atom_site_fract_x
_atom_site_fract_y
_atom_site_fract_z
Tb1 Tb 0.0000 0.0000 0.1178
Tb2 Tb 0.0000 0.0000 0.2994
Cd1 Cd 0.0000 0.0000 0.5000
Sn1 Sn 0.0000 0.0000 0.4027
```

- M_tot (μB per atom) = 0.00
- DFT total energy (eV/f.u.) = -29.7
- density (kg/m3) = 7351
- formation enthalpy at 0 K (eV per atom) = -0.33

## TbCd2Sn3 (PBE)

Data for a relaxed structure of TbCd2Sn3.

Cell and atoms, written as CIF:
```
data_TbCd2Sn3
_space_group_name_H-M_alt 'C m m m'
_space_group_IT_number 65
_space_group_name_Hall '-C 2 2'
_cell_length_a 4.608
_cell_length_b 14.814
_cell_length_c 4.457
_cell_angle_alpha 90.00
_cell_angle_beta 90.00
_cell_angle_gamma 90.00
loop_
_atom_site_label
_atom_site_type_symbol
_atom_site_fract_x
_atom_site_fract_y
_atom_site_fract_z
Tb1 Tb 0.000 0.000 0.000
Cd1 Cd 0.000 0.336 0.000
Sn1 Sn 0.000 0.169 0.500
Sn2 Sn 0.000 0.500 0.500
```

- M_tot (μB per atom) = 0.00
- DFT total energy (eV/f.u.) = -20.0
- density (kg/m3) = 8076
- formation enthalpy at 0 K (eV per atom) = -0.25

## Tb4Cd3Sn (PBE)

Data for a relaxed structure of Tb4Cd3Sn.

Cell and atoms, written as CIF:
```
data_Tb4Cd3Sn
_space_group_name_H-M_alt 'P m m m'
_space_group_IT_number 47
_cell_length_a 3.765
_cell_length_b 5.299
_cell_length_c 10.654
_cell_angle_alpha 90.00
_cell_angle_beta 90.00
_cell_angle_gamma 90.00
loop_
_space_group_symop_operation_xyz
'x,y,z'
'-x,-y,-z'
'-x,-y,z'
'x,y,-z'
'x,-y,-z'
'-x,y,z'
'-x,y,-z'
'x,-y,z'
loop_
_atom_site_label
_atom_site_type_symbol
_atom_site_fract_x
_atom_site_fract_y
_atom_site_fract_z
Tb1 Tb 0.000 0.000 0.000
Tb2 Tb 0.000 0.000 0.500
Tb3 Tb 0.000 0.500 0.250
Cd1 Cd 0.500 0.000 0.242
Cd2 Cd 0.500 0.500 0.000
Sn1 Sn 0.500 0.500 0.500
```

- M_tot (μB per atom) = 0.00
- DFT total energy (eV/f.u.) = -28.6
- density (kg/m3) = 8529
- formation enthalpy at 0 K (eV per atom) = -0.41

## Tb2CdSn4 (PBE)

Data for a relaxed structure of Tb2CdSn4.

Cell and atoms, written as CIF:
```
data_Tb2CdSn4
_space_group_name_H-M_alt 'P -4 m 2'
_space_group_IT_number 115
_cell_length_a 4.465
_cell_length_b 4.465
_cell_length_c 9.592
_cell_angle_alpha 90.00
_cell_angle_beta 90.00
_cell_angle_gamma 90.00
loop_
_space_group_symop_operation_xyz
'x,y,z'
'y,-x,-z'
'-x,-y,z'
'-y,x,-z'
'-x,y,z'
'-y,-x,-z'
'x,-y,z'
'y,x,-z'
loop_
_atom_site_label
_atom_site_type_symbol
_atom_site_fract_x
_atom_site_fract_y
_atom_site_fract_z
Tb1 Tb 0.000 0.500 0.241
Cd1 Cd 0.500 0.500 0.000
Sn1 Sn 0.000 0.000 0.500
Sn2 Sn 0.000 0.500 0.806
Sn3 Sn 0.500 0.500 0.500
```

- M_tot (μB per atom) = 0.00
- DFT total energy (eV/f.u.) = -28.9
- density (kg/m3) = 7861
- formation enthalpy at 0 K (eV per atom) = -0.39